Record 1
A relaxed CaAs2Pd9 crystal, computed with PBE.

abc: 8.488 8.488 8.488
angles: 99.08 99.08 133.19
Positions (direct):
Ca: 0.375 0.625 0.750
Ca: 0.625 0.375 0.250
As: 0.000 0.000 0.000
As: 0.000 0.000 0.500
As: 0.000 0.500 0.000
As: 0.500 0.000 0.500
Pd: 0.125 0.875 0.250
Pd: 0.127 0.559 0.323
Pd: 0.127 0.804 0.568
Pd: 0.196 0.264 0.323
Pd: 0.196 0.873 0.932
Pd: 0.264 0.196 0.823
Pd: 0.264 0.441 0.068
Pd: 0.441 0.264 0.568
Pd: 0.441 0.873 0.177
Pd: 0.559 0.127 0.823
Pd: 0.559 0.736 0.432
Pd: 0.736 0.559 0.932
Pd: 0.736 0.804 0.177
Pd: 0.804 0.127 0.068
Pd: 0.804 0.736 0.677
Pd: 0.873 0.196 0.432
Pd: 0.873 0.441 0.677
Pd: 0.875 0.125 0.750

Output
The volume is 409.17 Å³/cell. The value obtained for the raw total energy is -62.54 eV/f.u. For the formation energy, the calculation gives -8.66 kcal/mol of atoms. As for the density of states at the Fermi level: 4.68 states/eV/f.u.

Record 2
A relaxed TbZr2CrN4 crystal, computed with PBE.

abc: 5.793 5.793 11.083
angles: 90.00 90.00 147.52
Positions (direct):
Tb: 0.104 0.896 0.750
Tb: 0.896 0.104 0.250
Zr: 0.369 0.631 0.545
Zr: 0.369 0.631 0.955
Zr: 0.631 0.369 0.045
Zr: 0.631 0.369 0.455
Cr: 0.158 0.842 0.250
Cr: 0.842 0.158 0.750
N: 0.000 0.000 0.000
N: 0.000 0.000 0.500
N: 0.268 0.732 0.122
N: 0.268 0.732 0.378
N: 0.439 0.561 0.750
N: 0.561 0.439 0.250
N: 0.732 0.268 0.622
N: 0.732 0.268 0.878

Output
The volume is 199.72 Å³/cell. The value obtained for the raw total energy is -75.13 eV/f.u. The value obtained for the formation energy (no corrections) is -1.31 eV per atom. As for the density of states at the Fermi level: 4.37 states/eV/f.u.

Record 3
A relaxed Ba2BeGe3 crystal, computed with PBE.

abc: 8.916 8.434 6.621
angles: 71.48 63.76 44.76
Positions (direct):
Ba: 0.236 0.764 0.236
Ba: 0.250 0.250 0.250
Ba: 0.750 0.750 0.750
Ba: 0.764 0.236 0.764
Be: 0.334 0.334 0.666
Be: 0.666 0.666 0.334
Ge: 0.176 0.176 0.824
Ge: 0.180 0.645 0.820
Ge: 0.355 0.820 0.645
Ge: 0.645 0.180 0.355
Ge: 0.820 0.355 0.180
Ge: 0.824 0.824 0.176

Output
The volume is 314.46 Å³/cell. The value obtained for the raw total energy is -24.06 eV/f.u. For the formation energy, the calculation gives -10.12 kcal/mol of atoms. As for the density of states at the Fermi level: 2.54 states/eV/f.u.